# 1
Material: Y2BeNi
Method: DFT, PBE-GGA
State: optimized geometry

Lattice parameters (Å, degrees): 3.4159 3.4268 6.7385 90.00 90.07 90.00
Space group P2/m (No. 10)
One atom of each set of equivalent atoms:
1 Y 0.0001 0.0000 0.2482 [2 per cell]
2 Be 0.5000 0.5000 0.5000 [1 per cell]
3 Ni 0.5000 0.5000 0.0000 [1 per cell]

- Total energy: -23.02 eV for the cell shown
- D(E_F): 2.872 states/eV/f.u.

---

# 2
Material: CoTcRu4
Method: DFT, PBE-GGA
State: optimized geometry

Lattice parameters (Å, degrees): 7.0835 7.0835 7.0835 90.00 90.00 90.00
Space group F-43m (No. 216)
One atom of each set of equivalent atoms:
1 Co 0.0000 0.0000 0.0000 [4 per cell]
2 Tc 0.2500 0.2500 0.2500 [4 per cell]
3 Ru 0.1253 0.1253 0.6253 [16 per cell]

- Total energy: -203.51 eV for the cell shown
- D(E_F): 9.530 states/eV/f.u.

---

# 3
Material: Rb2PbBrN
Method: DFT, PBE-GGA
State: optimized geometry

Lattice parameters (Å, degrees): 5.9800 5.9800 4.4867 90.00 90.00 90.00
Space group P4/mmm (No. 123)
One atom of each set of equivalent atoms:
1 Rb 0.0000 0.5000 0.0000 [2 per cell]
2 Pb 0.0000 0.0000 0.5000 [1 per cell]
3 Br 0.5000 0.5000 0.5000 [1 per cell]
4 N 0.0000 0.0000 0.0000 [1 per cell]

- D(E_F): 1.791 states/eV/f.u.
- Formation energy without anion corrections: -1.26 eV/f.u.